# 1
# V2ReBr | the Alexandria database | GGA-PBE | relaxed
# Formation energy from raw total energies (eV/atom): 0.89
# Magnetic moment (μB/f.u.): 0.00
# ΔE to the lowest computed polymorph (meV/atom): 84.4
data_V2ReBr
_symmetry_space_group_name_H-M 'I -4 2 d'
_symmetry_Int_Tables_number 122
_symmetry_space_group_name_Hall 'I -4 2bw'
_cell_length_a 6.805
_cell_length_b 6.805
_cell_length_c 5.635
_cell_angle_alpha 90.00
_cell_angle_beta 90.00
_cell_angle_gamma 90.00
loop_
_atom_site_label
_atom_site_type_symbol
_atom_site_fract_x
_atom_site_fract_y
_atom_site_fract_z
_atom_site_occupancy
V1 V 0.247 0.750 0.125 1
Re1 Re 0.000 0.000 0.000 1
Br1 Br 0.000 0.000 0.500 1

---

# 2
# TbNd3Er3Te8 | the Alexandria database | GGA-PBE | relaxed
# Formation energy from raw total energies (eV/atom): -1.39
# Magnetic moment (μB/f.u.): 0.00
data_TbNd3Er3Te8
_symmetry_space_group_name_H-M 'R -3 m'
_symmetry_Int_Tables_number 166
_symmetry_space_group_name_Hall '-R 3 2"'
_cell_length_a 8.7578
_cell_length_b 8.7578
_cell_length_c 21.6412
_cell_angle_alpha 90.00
_cell_angle_beta 90.00
_cell_angle_gamma 120.00
loop_
_atom_site_label
_atom_site_type_symbol
_atom_site_fract_x
_atom_site_fract_y
_atom_site_fract_z
_atom_site_occupancy
Tb1 Tb 0.0000 0.0000 0.0000 1
Nd1 Nd 0.0000 0.5000 0.5000 1
Er1 Er 0.0000 0.5000 0.0000 1
Te1 Te 0.0000 0.0000 0.2547 1
Te2 Te 0.0117 0.5058 0.2519 1

---

# 3
# CeMnBeSi2 | the Alexandria database | GGA-PBE | relaxed
# Formation energy from raw total energies (eV/atom): -0.47
# Magnetic moment (μB/f.u.): 2.23
data_CeMnBeSi2
_symmetry_space_group_name_H-M 'I -4 m 2'
_symmetry_Int_Tables_number 119
_symmetry_space_group_name_Hall 'I -4 -2'
_cell_length_a 3.920
_cell_length_b 3.920
_cell_length_c 10.299
_cell_angle_alpha 90.00
_cell_angle_beta 90.00
_cell_angle_gamma 90.00
loop_
_atom_site_label
_atom_site_type_symbol
_atom_site_fract_x
_atom_site_fract_y
_atom_site_fract_z
_atom_site_occupancy
Ce1 Ce 0.000 0.000 0.000 1
Mn1 Mn 0.000 0.500 0.250 1
Be1 Be 0.000 0.500 0.750 1
Si1 Si 0.000 0.000 0.380 1

---

# 4
# UZnI6 | the Alexandria database | GGA-PBE | relaxed
# Formation energy from raw total energies (eV/atom): -0.63
# Magnetic moment (μB/f.u.): 2.00
data_UZnI6
_symmetry_space_group_name_H-M 'C 1 2/m 1'
_symmetry_Int_Tables_number 12
_cell_length_a 7.442
_cell_length_b 13.953
_cell_length_c 7.460
_cell_angle_alpha 90.00
_cell_angle_beta 110.57
_cell_angle_gamma 90.00
loop_
_symmetry_equiv_pos_as_xyz
'x,y,z'
'-x,-y,-z'
'-x,y,-z'
'x,-y,z'
'x+1/2,y+1/2,z'
'-x+1/2,-y+1/2,-z'
'-x+1/2,y+1/2,-z'
'x+1/2,-y+1/2,z'
loop_
_atom_site_label
_atom_site_type_symbol
_atom_site_fract_x
_atom_site_fract_y
_atom_site_fract_z
_atom_site_occupancy
U1 U 0.000 0.000 0.000 1
Zn1 Zn 0.000 0.500 0.500 1
I1 I 0.230 0.355 0.732 1
I2 I 0.240 0.000 0.758 1

---

# 5
# MoP3 | the Alexandria database | GGA-PBE | relaxed
# Magnetic moment (μB/f.u.): 0.00
# ΔE to the lowest computed polymorph (meV/atom): 338.2
data_MoP3
_symmetry_space_group_name_H-M 'C 1 2/m 1'
_symmetry_Int_Tables_number 12
_cell_length_a 8.410
_cell_length_b 3.161
_cell_length_c 4.505
_cell_angle_alpha 90.00
_cell_angle_beta 91.69
_cell_angle_gamma 90.00
loop_
_symmetry_equiv_pos_as_xyz
'x,y,z'
'-x,-y,-z'
'-x,y,-z'
'x,-y,z'
'x+1/2,y+1/2,z'
'-x+1/2,-y+1/2,-z'
'-x+1/2,y+1/2,-z'
'x+1/2,-y+1/2,z'
loop_
_atom_site_label
_atom_site_type_symbol
_atom_site_fract_x
_atom_site_fract_y
_atom_site_fract_z
_atom_site_occupancy
Mo1 Mo 0.000 0.000 0.000 1
P1 P 0.000 0.500 0.500 1
P2 P 0.216 0.500 0.202 1

---

# 6
# Ho2ZrCo9 | the Alexandria database | GGA-PBE | relaxed
# Final energy (eV for the cell shown): -251.60
# Magnetic moment (μB/f.u.): 9.85
data_Ho2ZrCo9
_symmetry_space_group_name_H-M 'R -3 m'
_symmetry_Int_Tables_number 166
_symmetry_space_group_name_Hall '-R 3 2"'
_cell_length_a 4.8841
_cell_length_b 4.8841
_cell_length_c 24.4138
_cell_angle_alpha 90.00
_cell_angle_beta 90.00
_cell_angle_gamma 120.00
loop_
_atom_site_label
_atom_site_type_symbol
_atom_site_fract_x
_atom_site_fract_y
_atom_site_fract_z
_atom_site_occupancy
Ho1 Ho 0.0000 0.0000 0.1391 1
Zr1 Zr 0.0000 0.0000 0.0000 1
Co1 Co 0.0000 0.0000 0.3344 1
Co2 Co 0.0000 0.0000 0.5000 1
Co3 Co 0.0017 0.5008 0.9197 1